Density functional theory data (PBEsol) for a geometry-optimized TaCdAg2 structure.

Summary:
total magnetization: 0.0 μB/cell
energy: -4.742 eV/atom
ΔH_f (0 K): 0.351 eV/atom

a b c (Å): 5.8312 9.6070 2.6950
angles (deg): 90.00 110.25 90.00
Closest atoms and distances in Å follow each position.
Space group C2/m (No. 12)
Symmetry-distinct sites (fractional):
Ta1 0.0000 0.0000 0.0000 (multiplicity 2)  2 Ta 2.69, 4 Ag 2.89, 2 Cd 2.92
Cd1 0.0000 0.5000 0.0000 (multiplicity 2)  2 Cd 2.69, 4 Ag 2.89, 2 Ta 2.92
Ag1 0.2500 0.2500 0.5000 (multiplicity 4)  4 Ag 2.69-2.92, 2 Cd 2.89, 2 Ta 2.89

***

Density functional theory data (PBEsol) for a geometry-optimized TaCdAg2 structure.

Summary:
total magnetization: 0.0 μB/cell
energy: -4.751 eV/atom
ΔH_f (0 K): 0.342 eV/atom

a b c (Å): 4.9998 4.9998 2.8210
angles (deg): 90.00 90.00 90.00
Closest atoms and distances in Å follow each position.
Space group P4/mmm (No. 123)
Symmetry-distinct sites (fractional):
Ta1 0.0000 0.0000 0.0000 (multiplicity 1)  2 Ta 2.82, 8 Ag 2.87
Cd1 0.5000 0.5000 0.0000 (multiplicity 1)  2 Cd 2.82, 8 Ag 2.87
Ag1 0.0000 0.5000 0.5000 (multiplicity 2)  2 Ag 2.82, 4 Cd 2.87, 4 Ta 2.87

***

Density functional theory data (PBEsol) for a geometry-optimized TbCdAg2 structure.

Summary:
total magnetization: 0.0 μB/cell
energy: -3.509 eV/atom
ΔH_f (0 K): -0.301 eV/atom

a b c (Å): 6.8526 6.8526 6.8526
angles (deg): 90.00 90.00 90.00
Closest atoms and distances in Å follow each position.
Space group Fm-3m (No. 225)
Symmetry-distinct sites (fractional):
Tb1 0.0000 0.0000 0.0000 (multiplicity 4)  8 Ag 2.97
Cd1 0.0000 0.0000 0.5000 (multiplicity 4)  8 Ag 2.97
Ag1 0.2500 0.2500 0.2500 (multiplicity 8)  4 Cd 2.97, 4 Tb 2.97

***

Density functional theory data (PBEsol) for a geometry-optimized CdTcAg structure.

Summary:
total magnetization: 8.5 μB/cell
energy: -4.144 eV/atom
ΔH_f (0 K): 1.114 eV/atom

a b c (Å): 6.2396 6.2396 6.2396
angles (deg): 90.00 90.00 90.00
Closest atoms and distances in Å follow each position.
Space group F-43m (No. 216)
Symmetry-distinct sites (fractional):
Cd1 0.0000 0.0000 0.0000 (multiplicity 4)  4 Tc 2.70
Tc1 0.2500 0.2500 0.2500 (multiplicity 4)  4 Cd 2.70, 4 Ag 2.70
Ag1 0.0000 0.0000 0.5000 (multiplicity 4)  4 Tc 2.70

***

Density functional theory data (PBEsol) for a geometry-optimized ZnCd2TcAg structure.

Summary:
total magnetization: 2.5 μB/cell
energy: -2.412 eV/atom
ΔH_f (0 K): 1.299 eV/atom

a b c (Å): 5.1776 5.1776 5.0330
angles (deg): 90.00 90.00 90.00
Closest atoms and distances in Å follow each position.
Space group P4/mmm (No. 123)
Symmetry-distinct sites (fractional):
Zn1 0.0000 0.0000 0.0000 (multiplicity 1)  8 Cd 3.61, 4 Ag 3.66
Cd1 0.0000 0.5000 0.5000 (multiplicity 2)  2 Tc 2.59
Tc1 0.5000 0.5000 0.5000 (multiplicity 1)  2 Ag 2.52, 4 Cd 2.59
Ag1 0.5000 0.5000 0.0000 (multiplicity 1)  2 Tc 2.52

***

Density functional theory data (PBEsol) for a geometry-optimized CdAgTe2 structure.

Summary:
total magnetization: 0.0 μB/cell
raw formation energy: 0.12 eV per atom
energy: -2.775 eV/atom

a b c (Å): 4.0656 4.0656 12.4023
angles (deg): 90.00 90.00 90.00
Closest atoms and distances in Å follow each position.
Space group I-4m2 (No. 119)
Symmetry-distinct sites (fractional):
Cd1 0.0000 0.0000 0.0000 (multiplicity 2)  4 Te 2.87
Ag1 0.0000 0.5000 0.7500 (multiplicity 2)  4 Te 2.87
Te1 0.0000 0.0000 0.5000 (multiplicity 2)  4 Cd 2.87
Te2 0.0000 0.5000 0.2500 (multiplicity 2)  4 Ag 2.87